Here is a geometry-optimized NaPrHgS3 structure from the Open Quantum Materials Database. Energies are from GGA-PBE.

a b c (Å): 8.1082 4.2252 17.0348
angles (deg): 90.00 90.00 90.00
Sites, in units of the cell vectors:
Hg 0.1244 0.2500 0.1488
Hg 0.6244 0.2500 0.3512
Hg 0.3756 0.7500 0.6488
Hg 0.8756 0.7500 0.8512
Na 0.4310 0.7500 0.2292
Na 0.9310 0.7500 0.2708
Na 0.0690 0.2500 0.7292
Na 0.5690 0.2500 0.7708
Pr 0.7348 0.2500 0.0453
Pr 0.2348 0.2500 0.4547
Pr 0.7652 0.7500 0.5453
Pr 0.2652 0.7500 0.9547
S 0.3771 0.2500 0.0532
S 0.9898 0.7500 0.0801
S 0.6958 0.2500 0.2105
S 0.1958 0.2500 0.2895
S 0.4898 0.7500 0.4199
S 0.8771 0.2500 0.4468
S 0.1229 0.7500 0.5532
S 0.5102 0.2500 0.5801
S 0.8042 0.7500 0.7105
S 0.3042 0.7500 0.7895
S 0.0102 0.2500 0.9199
S 0.6229 0.7500 0.9468

## Properties
DFT total energy (eV/atom): -4.2494
Volume (Å³ per cell): 583.59

=====

Here is a geometry-optimized NaPrHgS3 structure from the Open Quantum Materials Database. Energies are from GGA-PBE.

a b c (Å): 9.0522 9.0522 8.6989
angles (deg): 105.55 105.55 26.22
Sites, in units of the cell vectors:
Hg 0.5177 0.5177 0.2226
Hg 0.4823 0.4823 0.7774
Na 0.8734 0.8734 0.4249
Na 0.1266 0.1266 0.5751
Pr 0.1763 0.1763 0.1074
Pr 0.8237 0.8237 0.8926
S 0.0000 0.0000 0.0000
S 0.3371 0.3371 0.1304
S 0.6735 0.6735 0.3301
S 0.5000 0.5000 0.5000
S 0.3265 0.3265 0.6699
S 0.6629 0.6629 0.8696

## Properties
DFT total energy (eV/atom): -4.2239
Volume (Å³ per cell): 302.81

=====

Here is a geometry-optimized NaHgSbPt structure from the Open Quantum Materials Database. Energies are from GGA-PBE.

a b c (Å): 4.9274 4.9274 4.9274
angles (deg): 60.00 60.00 60.00
Sites, in units of the cell vectors:
Hg 0.2500 0.2500 0.2500
Na 0.7500 0.7500 0.7500
Pt 0.5000 0.5000 0.5000
Sb 0.0000 0.0000 0.0000

## Properties
DFT total energy (eV/atom): -2.8627
Volume (Å³ per cell): 84.59